1.
# Al2ZnSiO6

An optimized crystal structure of Al2ZnSiO6 (PBE, Alexandria).

Summary:
uncorrected formation energy: -26.15 eV/f.u.

Cell: 5.661 7.831 7.831 Å, 91.19 69.52 69.52°
Positions (direct):
Al: 0.342 0.801 0.641
Al: 0.158 0.359 0.199
Al: 0.658 0.199 0.359
Al: 0.842 0.641 0.801
Zn: 0.250 0.625 0.375
Zn: 0.750 0.375 0.625
Si: 0.250 0.223 0.777
Si: 0.750 0.777 0.223
O: 0.227 0.029 0.735
O: 0.273 0.265 0.971
O: 0.773 0.971 0.265
O: 0.727 0.735 0.029
O: 0.477 0.766 0.389
O: 0.023 0.611 0.234
O: 0.523 0.234 0.611
O: 0.977 0.389 0.766
O: 0.091 0.711 0.650
O: 0.409 0.350 0.289
O: 0.909 0.289 0.350
O: 0.591 0.650 0.711


2.
# AlZnSi2O

An optimized crystal structure of AlZnSi2O (PBE, Alexandria).

Summary:
uncorrected formation energy: 2.57 eV/f.u.

Cell: 4.993 3.562 4.993 Å, 90.00 90.00 90.00°
Positions (direct):
Zn: 0.000 0.000 0.000
Si: 0.000 0.000 0.500
Si: 0.500 0.000 0.000
O: 0.000 0.500 0.000
Al: 0.500 0.500 0.500


3.
# Sm2AlO

An optimized crystal structure of Sm2AlO (PBE, Alexandria).

Summary:
uncorrected formation energy: -4.10 eV/f.u.

Cell: 3.495 3.495 9.197 Å, 79.05 79.05 60.00°
Positions (direct):
O: 0.500 0.500 0.500
Al: 0.000 0.000 0.000
Sm: 0.114 0.114 0.657
Sm: 0.886 0.886 0.343


In the order shown, the computed DFT total energy values come out to -7.0081, -3.6508, -5.5590 eV per atom.
In the order shown, the computed total moment values come out to 0.0, 0.0, 0.0 Bohr magnetons per cell.